# 1
Here is a PBEsol-optimized structure of KMg3Pb from Alexandria via LeMat-Bulk. Energies are from meta-GGA SCAN.

Results
**Space-group type**: No. 221
**Crystal system**: cubic
**Formation energy**: 171 meV/atom

Geometry as CIF:
```
data_KMg3Pb
_chemical_formula_sum 'K1 Mg3 Pb1'
_symmetry_space_group_name_H-M 'P 1'
_symmetry_Int_Tables_number 1
_cell_length_a 5.672
_cell_length_b 5.672
_cell_length_c 5.672
_cell_angle_alpha 90.00
_cell_angle_beta 90.00
_cell_angle_gamma 90.00
loop_
_symmetry_equiv_pos_as_xyz
'x,y,z'
loop_
_atom_site_label
_atom_site_type_symbol
_atom_site_fract_x
_atom_site_fract_y
_atom_site_fract_z
K1 K 0.000 0.000 0.000
Mg1 Mg 0.000 0.500 0.500
Mg2 Mg 0.500 0.000 0.500
Mg3 Mg 0.500 0.500 0.000
Pb1 Pb 0.500 0.500 0.500
```

***

# 2
Here is a PBEsol-optimized structure of PdPt3I from Alexandria via LeMat-Bulk. Energies are from meta-GGA SCAN.

Results
**E_form (uncorrected)**: 1.479 eV per atom
**Space-group type**: No. 221
**Crystal system**: cubic

Geometry as CIF:
```
data_PdPt3I
_chemical_formula_sum 'Pd1 Pt3 I1'
_symmetry_space_group_name_H-M 'P 1'
_symmetry_Int_Tables_number 1
_cell_length_a 4.793
_cell_length_b 4.793
_cell_length_c 4.793
_cell_angle_alpha 90.00
_cell_angle_beta 90.00
_cell_angle_gamma 90.00
loop_
_symmetry_equiv_pos_as_xyz
'x,y,z'
loop_
_atom_site_label
_atom_site_type_symbol
_atom_site_fract_x
_atom_site_fract_y
_atom_site_fract_z
Pd1 Pd 0.000 0.000 0.000
Pt1 Pt 0.000 0.000 0.500
Pt2 Pt 0.000 0.500 0.000
Pt3 Pt 0.500 0.000 0.000
I1 I 0.500 0.500 0.500
```

***

# 3
Here is a PBEsol-optimized structure of RuBr2O from Alexandria via LeMat-Bulk. Energies are from meta-GGA SCAN.

Results
**E_form (uncorrected)**: 1.076 eV per atom
**Space-group type**: No. 166
**Crystal system**: trigonal

Geometry as CIF:
```
data_RuBr2O
_chemical_formula_sum 'Ru3 Br6 O3'
_symmetry_space_group_name_H-M 'P 1'
_symmetry_Int_Tables_number 1
_cell_length_a 3.051
_cell_length_b 3.051
_cell_length_c 24.725
_cell_angle_alpha 90.00
_cell_angle_beta 90.00
_cell_angle_gamma 120.00
loop_
_symmetry_equiv_pos_as_xyz
'x,y,z'
loop_
_atom_site_label
_atom_site_type_symbol
_atom_site_fract_x
_atom_site_fract_y
_atom_site_fract_z
Ru1 Ru 0.000 0.000 0.000
Ru2 Ru 0.333 0.667 0.667
Ru3 Ru 0.667 0.333 0.333
Br1 Br 0.000 0.000 0.094
Br2 Br 0.000 0.000 0.906
Br3 Br 0.333 0.667 0.573
Br4 Br 0.333 0.667 0.761
Br5 Br 0.667 0.333 0.239
Br6 Br 0.667 0.333 0.427
O1 O 0.000 0.000 0.500
O2 O 0.333 0.667 0.167
O3 O 0.667 0.333 0.833
```